[1]
An optimized crystal structure of Tm2ZnNiIr. Source: the Open Quantum Materials Database, functional PBE.

## Properties
For the magnetic moment, the calculation gives 0.00 μB/f.u. Its crystal system is orthorhombic. For the total DFT energy (no corrections), the calculation gives -5.622 eV per atom. Its energy of formation from the pure elements is -0.69 eV/atom. The space-group type is Imm2 (44).

Cell lengths 4.144, 8.124, 5.562 Å; angles 90.00, 90.00, 90.00 degrees
Fractional positions:
Tm 0.000 0.202 0.000
Tm 0.000 0.798 0.000
Tm 0.500 0.298 0.500
Tm 0.500 0.702 0.500
Zn 0.000 0.000 0.506
Zn 0.500 0.500 0.006
Ni 0.000 0.500 0.255
Ni 0.500 0.000 0.755
Ir 0.000 0.500 0.715
Ir 0.500 0.000 0.215

---

[2]
An optimized crystal structure of NaHoPt. Source: the Open Quantum Materials Database, functional PBE.

## Properties
For the magnetic moment, the calculation gives 0.00 μB/f.u. Its crystal system is cubic. For the total DFT energy (no corrections), the calculation gives -4.533 eV per atom. The space-group type is F-43m (216).

Cell lengths 6.692, 6.692, 6.692 Å; angles 90.00, 90.00, 90.00 degrees
Fractional positions:
Na 0.000 0.000 0.000
Na 0.000 0.500 0.500
Na 0.500 0.000 0.500
Na 0.500 0.500 0.000
Ho 0.000 0.000 0.500
Ho 0.000 0.500 0.000
Ho 0.500 0.000 0.000
Ho 0.500 0.500 0.500
Pt 0.250 0.250 0.750
Pt 0.250 0.750 0.250
Pt 0.750 0.250 0.250
Pt 0.750 0.750 0.750

---

[3]
An optimized crystal structure of Y2Tm4LuNi2Te2. Source: the Open Quantum Materials Database, functional PBE.

## Properties
For the magnetic moment, the calculation gives 0.00 μB/f.u. Its crystal system is orthorhombic. For the total DFT energy (no corrections), the calculation gives -5.474 eV per atom. The space-group type is Imm2 (44).

Cell lengths 9.285, 9.285, 9.285 Å; angles 156.18, 67.06, 118.36 degrees
Fractional positions:
Y 0.146 0.000 0.146
Y 0.854 0.000 0.854
Tm 0.166 0.351 0.815
Tm 0.515 0.148 0.367
Tm 0.535 0.351 0.185
Tm 0.781 0.148 0.633
Lu 0.231 0.731 0.500
Ni 0.400 0.661 0.740
Ni 0.921 0.661 0.260
Te 0.496 0.496 0.000
Te 0.893 0.393 0.500

---

[4]
An optimized crystal structure of FeNiSbPt. Source: the Open Quantum Materials Database, functional PBE.

## Properties
For the magnetic moment, the calculation gives 2.82 μB/f.u. Its crystal system is cubic. For the total DFT energy (no corrections), the calculation gives -6.061 eV per atom. The space-group type is F-43m (216).

Cell lengths 6.189, 6.189, 6.189 Å; angles 90.00, 90.00, 90.00 degrees
Fractional positions:
Fe 0.000 0.000 0.000
Fe 0.000 0.500 0.500
Fe 0.500 0.000 0.500
Fe 0.500 0.500 0.000
Ni 0.000 0.000 0.500
Ni 0.000 0.500 0.000
Ni 0.500 0.000 0.000
Ni 0.500 0.500 0.500
Sb 0.250 0.250 0.750
Sb 0.250 0.750 0.250
Sb 0.750 0.250 0.250
Sb 0.750 0.750 0.750
Pt 0.250 0.250 0.250
Pt 0.250 0.750 0.750
Pt 0.750 0.250 0.750
Pt 0.750 0.750 0.250

---

[5]
An optimized crystal structure of PmIn2. Source: the Open Quantum Materials Database, functional PBE.

## Properties
For the magnetic moment, the calculation gives 0.00 μB/f.u. Its crystal system is cubic. For the total DFT energy (no corrections), the calculation gives -3.831 eV per atom. The space-group type is Fd-3m (227).

Cell lengths 6.046, 6.046, 6.046 Å; angles 60.00, 60.00, 60.00 degrees
Fractional positions:
Pm 0.125 0.125 0.125
Pm 0.875 0.875 0.875
In 0.000 0.500 0.500
In 0.500 0.000 0.500
In 0.500 0.500 0.000
In 0.500 0.500 0.500

---

[6]
An optimized crystal structure of BeCdBAu. Source: the Open Quantum Materials Database, functional PBE.

## Properties
Its crystal system is cubic. For the total DFT energy (no corrections), the calculation gives -2.613 eV per atom. The space-group type is F-43m (216).

Cell lengths 6.160, 6.160, 6.160 Å; angles 90.00, 90.00, 90.00 degrees
Fractional positions:
Be 0.000 0.000 0.000
Be 0.000 0.500 0.500
Be 0.500 0.000 0.500
Be 0.500 0.500 0.000
Cd 0.250 0.250 0.250
Cd 0.250 0.750 0.750
Cd 0.750 0.250 0.750
Cd 0.750 0.750 0.250
B 0.250 0.250 0.750
B 0.250 0.750 0.250
B 0.750 0.250 0.250
B 0.750 0.750 0.750
Au 0.000 0.000 0.500
Au 0.000 0.500 0.000
Au 0.500 0.000 0.000
Au 0.500 0.500 0.500

---

[7]
An optimized crystal structure of AcTbO3. Source: the Open Quantum Materials Database, functional PBE.

## Properties
For the magnetic moment, the calculation gives 0.00 μB/f.u. Its crystal system is tetragonal. For the total DFT energy (no corrections), the calculation gives -8.020 eV per atom. The space-group type is P4mm (99).

Cell lengths 4.108, 4.108, 5.118 Å; angles 90.00, 90.00, 90.00 degrees
Fractional positions:
Ac 0.000 0.000 0.000
Tb 0.500 0.500 0.572
O 0.000 0.500 0.723
O 0.500 0.000 0.723
O 0.500 0.500 0.151

---

[8]
An optimized crystal structure of InAgSeS. Source: the Open Quantum Materials Database, functional PBE.

## Properties
Its crystal system is monoclinic. For the total DFT energy (no corrections), the calculation gives -3.723 eV per atom. The space-group type is Cc (9).

Cell lengths 8.582, 8.582, 7.232 Å; angles 90.00, 125.65, 90.00 degrees
Fractional positions:
In 0.000 0.119 0.000
In 0.000 0.881 0.500
In 0.500 0.381 0.500
In 0.500 0.619 0.000
Ag 0.017 0.364 0.500
Ag 0.017 0.636 0.000
Ag 0.517 0.136 0.000
Ag 0.517 0.864 0.500
Se 0.377 0.126 0.250
Se 0.377 0.874 0.750
Se 0.877 0.374 0.750
Se 0.877 0.626 0.250
S 0.384 0.381 0.750
S 0.384 0.619 0.250
S 0.884 0.119 0.250
S 0.884 0.881 0.750